No. 1
{"formula": "NbCrS2N", "functional": "PBE-GGA", "state": "optimized geometry", "density_g_cm3": 3.92, "e_tot_ev_per_atom": -7.15, "crystal_system": "tetragonal", "total_magnetization_mub_per_cell": 4.1, "dos_ef_per_ev_fu": 3.8, "raw_formation_energy_ev_per_atom": 0.102, "relative_energy_mev_per_atom": 0, "cell": [[-0.3906, -4.9052, 0.2687], [1.2375, 0.1626, 4.7673], [-3.7494, 0.3512, 0.9613]], "species": ["Cr", "S", "S", "N", "Nb"], "fractional_positions": [[0.5000, 0.5000, 0.5000], [0.0000, 0.5000, 0.0000], [0.5000, 0.0000, 0.0000], [0.0000, 0.0000, 0.5000], [0.0000, 0.0000, 0.0000]]}


No. 2
{"formula": "SnPbCl4", "functional": "PBE-GGA", "state": "optimized geometry", "density_g_cm3": 4.31, "e_tot_ev_per_atom": -3.58, "crystal_system": "monoclinic", "total_magnetization_mub_per_cell": 0.0, "dos_ef_per_ev_fu": 0.0, "raw_formation_energy_ev_per_atom": -1.063, "relative_energy_mev_per_atom": 0, "cell": [[-4.2085, -2.8428, 4.9882], [-4.4585, -2.2787, -5.0602], [3.6340, -6.0947, -0.4574]], "species": ["Cl", "Cl", "Cl", "Cl", "Cl", "Cl", "Cl", "Cl", "Sn", "Sn", "Pb", "Pb"], "fractional_positions": [[0.1616, 0.8400, 0.6541], [0.6515, 0.1533, 0.8412], [0.6616, 0.6600, 0.6541], [0.8384, 0.1600, 0.3459], [0.1515, 0.3467, 0.8412], [0.3384, 0.3400, 0.3459], [0.3485, 0.8467, 0.1588], [0.8485, 0.6533, 0.1588], [0.5000, 0.0000, 0.5000], [0.0000, 0.5000, 0.5000], [0.5000, 0.5000, 0.0000], [0.0000, 0.0000, 0.0000]]}


No. 3
{"formula": "Ac4Nd8Sm3", "functional": "PBE-GGA", "state": "optimized geometry", "density_g_cm3": 7.17, "e_tot_ev_per_atom": -4.25, "delta_e_f_mev_per_atom": 329, "crystal_system": "monoclinic", "total_magnetization_mub_per_cell": 0.0, "dos_ef_per_ev_fu": 27.1, "cell": [[7.2485, -0.0707, -0.1015], [-3.4491, 8.9580, 1.1342], [-3.4491, -2.0460, 8.7947]], "species": ["Nd", "Nd", "Nd", "Nd", "Nd", "Nd", "Nd", "Nd", "Ac", "Ac", "Ac", "Ac", "Sm", "Sm", "Sm"], "fractional_positions": [[0.4639, 0.7248, 0.7248], [0.0124, 0.2801, 0.2801], [0.9876, 0.7199, 0.7199], [0.0000, 0.3583, 0.6417], [0.5000, 0.7350, 0.2650], [0.0000, 0.6417, 0.3583], [0.5361, 0.2752, 0.2752], [0.5000, 0.2650, 0.7350], [0.5000, 0.0000, 0.0000], [0.0000, 0.0000, 0.0000], [0.0000, 0.0000, 0.5000], [0.0000, 0.5000, 0.0000], [0.5000, 0.5000, 0.0000], [0.5000, 0.0000, 0.5000], [0.5000, 0.5000, 0.5000]]}


No. 4
{"formula": "Th8Sn2Pt", "functional": "PBE-GGA", "state": "optimized geometry", "density_g_cm3": 11.31, "e_tot_ev_per_atom": -6.96, "delta_e_f_mev_per_atom": -289, "crystal_system": "monoclinic", "total_magnetization_mub_per_cell": 0.0, "dos_ef_per_ev_fu": 13.5, "cell": [[-3.6275, -2.5785, -2.9050], [0.0710, -4.9711, 4.3236], [-5.2301, 7.8293, 4.4430]], "species": ["Th", "Th", "Th", "Th", "Th", "Th", "Th", "Th", "Sn", "Sn", "Pt"], "fractional_positions": [[0.5902, 0.4801, 0.1805], [0.9787, 0.2224, 0.9575], [0.4098, 0.5199, 0.8195], [0.0213, 0.7776, 0.0425], [0.6469, 0.0080, 0.2938], [0.3531, 0.9920, 0.7062], [0.7755, 0.6819, 0.5511], [0.2245, 0.3180, 0.4489], [0.8187, 0.2428, 0.6373], [0.1813, 0.7572, 0.3627], [0.5000, 0.0000, 0.0000]]}


No. 5
{"formula": "SmAsH2Ru", "functional": "PBE-GGA", "state": "optimized geometry", "density_g_cm3": 8.60, "e_tot_ev_per_atom": -5.70, "crystal_system": "orthorhombic", "total_magnetization_mub_per_cell": 0.0, "dos_ef_per_ev_fu": 1.5, "cell": [[-1.4257, 1.4057, -3.4794], [-3.1354, -4.1818, 1.9109], [-3.4645, 3.9812, 3.0280]], "species": ["H", "H", "H", "H", "As", "As", "Sm", "Sm", "Ru", "Ru"], "fractional_positions": [[0.8367, 0.6734, 0.4376], [0.8367, 0.6734, 0.0624], [0.1633, 0.3266, 0.9376], [0.1633, 0.3266, 0.5624], [0.5717, 0.1435, 0.2500], [0.4283, 0.8565, 0.7500], [0.2893, 0.5786, 0.2500], [0.7107, 0.4214, 0.7500], [0.0000, 0.0000, 0.0000], [0.0000, 0.0000, 0.5000]]}


No. 6
{"formula": "Pr8Cu3Pt2", "functional": "PBE-GGA", "state": "optimized geometry", "density_g_cm3": 7.54, "e_tot_ev_per_atom": -5.14, "delta_e_f_mev_per_atom": -321, "crystal_system": "monoclinic", "total_magnetization_mub_per_cell": 0.0, "dos_ef_per_ev_fu": 13.1, "cell": [[6.5516, 0.0000, 0.5307], [0.0000, 7.5241, 0.0000], [-2.1200, -3.7621, 7.4622]], "species": ["Cu", "Cu", "Cu", "Pr", "Pr", "Pr", "Pr", "Pr", "Pr", "Pr", "Pr", "Pt", "Pt"], "fractional_positions": [[0.0000, 0.8391, 0.0000], [0.5000, 0.0000, 0.0000], [0.0000, 0.1609, 0.0000], [0.8738, 0.1723, 0.3446], [0.1658, 0.4265, 0.8530], [0.1262, 0.8277, 0.6554], [0.6301, 0.1186, 0.7390], [0.6301, 0.6205, 0.7390], [0.8342, 0.5735, 0.1470], [0.3699, 0.3795, 0.2610], [0.3699, 0.8814, 0.2610], [0.3152, 0.2672, 0.5344], [0.6848, 0.7328, 0.4656]]}


No. 7
{"formula": "La2Er4Sc", "functional": "PBE-GGA", "state": "optimized geometry", "density_g_cm3": 6.58, "e_tot_ev_per_atom": -4.39, "delta_e_f_mev_per_atom": 531, "crystal_system": "tetragonal", "total_magnetization_mub_per_cell": 0.8, "dos_ef_per_ev_fu": 7.5, "relative_energy_mev_per_atom": 350, "cell": [[-3.7761, -3.4889, -1.5483], [3.0958, -1.5253, -4.1132], [3.9505, -3.6136, 7.8179]], "species": ["Er", "Er", "Er", "Er", "La", "La", "Sc"], "fractional_positions": [[0.5000, 0.0000, 0.0000], [0.8282, 0.8282, 0.6564], [0.1718, 0.1718, 0.3436], [0.0000, 0.5000, 0.0000], [0.3715, 0.3715, 0.7430], [0.6285, 0.6285, 0.2570], [0.0000, 0.0000, 0.0000]]}


No. 8
{"formula": "BeAs2SBr", "functional": "PBE-GGA", "state": "optimized geometry", "density_g_cm3": 3.74, "e_tot_ev_per_atom": -2.63, "crystal_system": "tetragonal", "total_magnetization_mub_per_cell": 0.5, "dos_ef_per_ev_fu": 4.2, "raw_formation_energy_ev_per_atom": 1.132, "relative_energy_mev_per_atom": 543, "cell": [[4.8284, 0.0000, 0.0000], [0.0000, 4.8284, 0.0000], [0.0000, 0.0000, 5.1588]], "species": ["As", "As", "S", "Br", "Be"], "fractional_positions": [[0.0000, 0.5000, 0.0000], [0.5000, 0.0000, 0.0000], [0.0000, 0.0000, 0.0000], [0.0000, 0.0000, 0.5000], [0.5000, 0.5000, 0.5000]]}


No. 9
{"formula": "Hg2RuRh", "functional": "PBE-GGA", "state": "optimized geometry", "density_g_cm3": 14.01, "e_tot_ev_per_atom": -3.95, "delta_e_f_mev_per_atom": 357, "crystal_system": "trigonal", "total_magnetization_mub_per_cell": 0.0, "dos_ef_per_ev_fu": 3.9, "relative_energy_mev_per_atom": 97, "cell": [[-0.0413, -9.5629, 2.6630], [2.6181, -9.4592, 1.4877], [2.2235, -8.6843, 4.2641]], "species": ["Rh", "Ru", "Hg", "Hg"], "fractional_positions": [[0.4924, 0.4924, 0.4924], [0.7579, 0.7579, 0.7579], [0.2415, 0.2415, 0.2415], [0.0082, 0.0082, 0.0082]]}


No. 10
{"formula": "TbPbIO6", "functional": "PBE-GGA", "state": "optimized geometry", "density_g_cm3": 6.78, "e_tot_ev_per_atom": -5.83, "crystal_system": "trigonal", "total_magnetization_mub_per_cell": 0.0, "dos_ef_per_ev_fu": 0.0, "raw_formation_energy_ev_per_atom": -1.430, "cell": [[-1.4958, 3.1077, 4.5548], [-3.5353, -4.0156, -2.0044], [4.3576, -6.9009, 6.1393]], "species": ["O", "O", "O", "O", "O", "O", "O", "O", "O", "O", "O", "O", "I", "I", "Pb", "Pb", "Tb", "Tb"], "fractional_positions": [[0.6509, 0.0495, 0.3561], [0.9505, 0.3491, 0.1439], [0.9505, 0.6014, 0.3561], [0.6014, 0.9505, 0.8561], [0.3986, 0.3491, 0.3561], [0.3491, 0.9505, 0.6439], [0.6014, 0.6509, 0.6439], [0.0495, 0.3986, 0.6439], [0.3986, 0.0495, 0.1439], [0.0495, 0.6509, 0.8561], [0.3491, 0.3986, 0.8561], [0.6509, 0.6014, 0.1439], [0.6667, 0.3333, 0.2500], [0.3333, 0.6667, 0.7500], [0.0000, 0.0000, 0.0000], [0.0000, 0.0000, 0.5000], [0.6667, 0.3333, 0.7500], [0.3333, 0.6667, 0.2500]]}


No. 11
{"formula": "Sm2TmCu3", "functional": "PBE-GGA", "state": "optimized geometry", "density_g_cm3": 8.52, "e_tot_ev_per_atom": -4.58, "delta_e_f_mev_per_atom": -218, "crystal_system": "tetragonal", "total_magnetization_mub_per_cell": 0.0, "dos_ef_per_ev_fu": 2.9, "cell": [[3.4911, 0.0000, 0.0000], [0.0000, 3.4911, 0.0000], [0.0000, 0.0000, 10.5595]], "species": ["Sm", "Sm", "Tm", "Cu", "Cu", "Cu"], "fractional_positions": [[0.5000, 0.5000, 0.8291], [0.5000, 0.5000, 0.1709], [0.5000, 0.5000, 0.5000], [0.0000, 0.0000, 0.0000], [0.0000, 0.0000, 0.6532], [0.0000, 0.0000, 0.3468]]}


No. 12
{"formula": "TiAlRe", "functional": "PBE-GGA", "state": "optimized geometry", "density_g_cm3": 9.50, "e_tot_ev_per_atom": -8.39, "delta_e_f_mev_per_atom": -366, "crystal_system": "trigonal", "total_magnetization_mub_per_cell": 0.0, "dos_ef_per_ev_fu": 1.0, "cell": [[2.7249, 0.0000, 0.0000], [0.0000, 4.3964, 0.0000], [0.0000, -2.1982, 3.8074]], "species": ["Re", "Al", "Ti"], "fractional_positions": [[0.0178, 0.0000, 0.0000], [0.6872, 0.3333, 0.6667], [0.2950, 0.6667, 0.3333]]}